Entry 1:
# MgSc2HgI

A geometry-optimized MgSc2HgI structure (GGA-PBE, Alexandria via LeMat-Bulk).

Summary:
E_tot: -2.817 eV per atom
calculated volume: 30.45 A^3/atom
energy relative to the elements, uncorrected: 0.40 eV/atom

a = 5.4994 Å, b = 5.4994 Å, c = 5.0344 Å
α = 90.00°, β = 90.00°, γ = 90.00°
With the nearest neighbours (Å) after each atom.
Space group P4/mmm (No. 123)
One atom of each set of equivalent atoms:
Mg (0.0000, 0.0000, 0.0000)  2 Hg 2.52, 4 Sc 2.75
Sc (0.0000, 0.5000, 0.0000)  2 Mg 2.75
Hg (0.0000, 0.0000, 0.5000)  2 Mg 2.52
I (0.5000, 0.5000, 0.5000)  8 Sc 3.73, 4 Hg 3.89


Entry 2:
# Ca2TaW

A geometry-optimized Ca2TaW structure (GGA-PBE, Alexandria via LeMat-Bulk).

Summary:
E_tot: -6.333 eV per atom
energy above the most stable polymorph in this dataset: 182 kJ/mol of formula units
calculated volume: 21.69 A^3/atom
DFT formation energy: 869 meV per atom

a = 4.9735 Å, b = 4.9735 Å, c = 7.0161 Å
α = 90.00°, β = 90.00°, γ = 90.00°
With the nearest neighbours (Å) after each atom.
Space group I-4m2 (No. 119)
One atom of each set of equivalent atoms:
Ca (0.0000, 0.0000, 0.0000)  4 Ta 3.04, 4 Ca 3.04
Ca (0.0000, 0.5000, 0.2500)  4 W 3.04, 4 Ca 3.04
Ta (0.0000, 0.5000, 0.7500)  4 W 3.04, 4 Ca 3.04
W (0.0000, 0.0000, 0.5000)  4 Ta 3.04, 4 Ca 3.04


Question: Among the records above, which one has the highest E_tot?
Answer: MgSc2HgI